No. 1
8
Lattice="-2.507 2.507 5.314 2.507 -2.507 5.314 2.507 2.507 -5.314" Properties=species:S:1:pos:R:3 comment="BIr2Se (GGA-PBE, relaxed)" formation_energy_uncorrected_mev_per_atom=101.2 final_energy_ev_per_atom=-6.870 n_ef_per_ev_cell=2.8 pbc="T T T"
B 0.000 0.000 0.000
B 0.000 2.507 2.657
Ir 3.761 0.922 -1.328
Ir 0.922 1.254 1.328
Ir -1.254 1.585 3.985
Ir 1.585 1.254 6.642
Se 2.507 0.000 2.657
Se 0.000 0.000 5.314

No. 2
12
Lattice="6.189 0.000 0.000 -0.021 7.148 0.000 -0.019 -0.006 8.750" Properties=species:S:1:pos:R:3 comment="Tb4Pm3Dy5 (GGA-PBE, relaxed)" e_form_ev_per_atom=0.0146 final_energy_ev_per_atom=-4.634 n_ef_per_ev_cell=15.3 pbc="T T T"
Tb 1.008 7.144 1.465
Tb 2.034 1.780 7.290
Tb 4.114 5.362 1.460
Tb 5.140 -0.002 7.285
Pm 2.031 5.362 7.294
Pm 3.074 3.571 4.375
Pm 4.117 1.781 1.457
Dy -0.010 1.779 4.376
Dy 1.011 3.572 1.463
Dy 3.085 -0.003 4.375
Dy 5.137 3.571 7.287
Dy 6.159 5.363 4.375